This record from the Alexandria database describes crystalline Pr2BeAsPt6 at its relaxed geometry. The functional is PBE-GGA.

The space-group type is Fm-3m. As for the calculated volume: 195.4 Å³/cell. The density of states at the Fermi level comes out at 7.60 states/eV/cell. The calculation puts the size of the total moment at 0.0 μB/f.u. The formation energy is -0.61 eV per atom.

a = 6.513 Å, b = 6.513 Å, c = 6.513 Å
α = 60.00°, β = 60.00°, γ = 90.00°
Element x y z (fractional)
1 Pr 0.250 0.750 0.500
2 Pr 0.750 0.250 0.500
3 Pt 0.737 0.737 0.527
4 Pt 0.263 0.263 0.473
5 Pt 0.263 0.263 0.000
6 Pt 0.737 0.737 0.000
7 Pt 0.737 0.263 0.000
8 Pt 0.263 0.737 0.000
9 As 0.000 0.000 0.000
10 Be 0.500 0.500 0.000


This record from the Alexandria database describes crystalline Be3AsPt at its relaxed geometry. The functional is PBE-GGA.

The space-group type is Pm-3m. As for the calculated volume: 72.6 Å³/cell. The density of states at the Fermi level comes out at 1.77 states/eV/cell. The calculation puts the size of the total moment at 0.0 μB/f.u. The formation energy is 0.69 eV per atom.

a = 4.172 Å, b = 4.172 Å, c = 4.172 Å
α = 90.00°, β = 90.00°, γ = 90.00°
Element x y z (fractional)
1 Pt 0.500 0.500 0.500
2 As 0.000 0.000 0.000
3 Be 0.000 0.000 0.500
4 Be 0.000 0.500 0.000
5 Be 0.500 0.000 0.000


This record from the Alexandria database describes crystalline Be2As2Pt at its relaxed geometry. The functional is PBE-GGA.

The space-group type is I4/mmm. As for the calculated volume: 73.7 Å³/cell. The density of states at the Fermi level comes out at 2.92 states/eV/cell. The calculation puts the size of the total moment at 0.0 μB/f.u. The formation energy is 0.40 eV per atom.

a = 3.679 Å, b = 3.679 Å, c = 6.031 Å
α = 72.24°, β = 72.24°, γ = 90.00°
Element x y z (fractional)
1 Be 0.595 0.595 0.809
2 Be 0.405 0.405 0.191
3 As 0.750 0.250 0.500
4 As 0.250 0.750 0.500
5 Pt 0.000 0.000 0.000


This record from the Alexandria database describes crystalline Be4AsPt at its relaxed geometry. The functional is PBE-GGA.

The space-group type is F-43m. As for the calculated volume: 66.1 Å³/cell. The density of states at the Fermi level comes out at 3.26 states/eV/cell. The calculation puts the size of the total moment at 0.0 μB/f.u. The formation energy is -0.02 eV per atom.

a = 4.539 Å, b = 4.539 Å, c = 4.539 Å
α = 60.00°, β = 60.00°, γ = 60.00°
Element x y z (fractional)
1 Be 0.376 0.376 0.376
2 Be 0.376 0.376 0.872
3 Be 0.376 0.872 0.376
4 Be 0.872 0.376 0.376
5 As 0.000 0.000 0.000
6 Pt 0.750 0.750 0.750


This record from the Alexandria database describes crystalline Be2As2Pt at its relaxed geometry. The functional is PBE-GGA.

The space-group type is P4/mbm. As for the calculated volume: 138.0 Å³/cell. The density of states at the Fermi level comes out at 3.85 states/eV/cell. The calculation puts the size of the total moment at 0.0 μB/f.u. The formation energy is 0.11 eV per atom.

a = 6.325 Å, b = 6.325 Å, c = 3.448 Å
α = 90.00°, β = 90.00°, γ = 90.00°
Element x y z (fractional)
1 Pt 0.500 0.500 0.000
2 Pt 0.000 0.000 0.000
3 Be 0.125 0.375 0.000
4 Be 0.625 0.125 0.000
5 Be 0.375 0.875 0.000
6 Be 0.875 0.625 0.000
7 As 0.318 0.182 0.500
8 As 0.182 0.682 0.500
9 As 0.682 0.818 0.500
10 As 0.818 0.318 0.500


This record from the Alexandria database describes crystalline BeAsPt4 at its relaxed geometry. The functional is PBE-GGA.

The space-group type is F-43m. As for the calculated volume: 102.7 Å³/cell. The density of states at the Fermi level comes out at 9.31 states/eV/cell. The calculation puts the size of the total moment at 0.0 μB/f.u. The formation energy is 0.34 eV per atom.

a = 5.257 Å, b = 5.257 Å, c = 5.257 Å
α = 60.00°, β = 60.00°, γ = 60.00°
Element x y z (fractional)
1 Pt 0.625 0.125 0.625
2 Pt 0.625 0.625 0.625
3 Pt 0.625 0.625 0.125
4 Pt 0.125 0.625 0.625
5 Be 0.000 0.000 0.000
6 As 0.250 0.250 0.250


This record from the Alexandria database describes crystalline Be3AsPt at its relaxed geometry. The functional is PBE-GGA.

The space-group type is Pm-3m. As for the calculated volume: 78.6 Å³/cell. The density of states at the Fermi level comes out at 2.22 states/eV/cell. The calculation puts the size of the total moment at 0.0 μB/f.u. The formation energy is 0.33 eV per atom.

a = 4.283 Å, b = 4.283 Å, c = 4.283 Å
α = 90.00°, β = 90.00°, γ = 90.00°
Element x y z (fractional)
1 Be 0.500 0.000 0.000
2 Be 0.000 0.500 0.000
3 Be 0.000 0.000 0.500
4 Pt 0.000 0.000 0.000
5 As 0.500 0.500 0.500


This record from the Alexandria database describes crystalline Pu2BeAsPt6 at its relaxed geometry. The functional is PBE-GGA.

The space-group type is Fm-3m. As for the calculated volume: 191.4 Å³/cell. The density of states at the Fermi level comes out at 36.25 states/eV/cell. The calculation puts the size of the total moment at 10.2 μB/f.u. The formation energy is -0.36 eV per atom.

a = 6.468 Å, b = 6.468 Å, c = 6.468 Å
α = 60.00°, β = 60.00°, γ = 90.00°
Element x y z (fractional)
1 Pt 0.736 0.736 0.528
2 Pt 0.264 0.736 0.000
3 Pt 0.264 0.264 0.472
4 Pt 0.736 0.736 0.000
5 Pt 0.264 0.264 0.000
6 Pt 0.736 0.264 0.000
7 As 0.000 0.000 0.000
8 Be 0.500 0.500 0.000
9 Pu 0.750 0.250 0.500
10 Pu 0.250 0.750 0.500


This record from the Alexandria database describes crystalline Be2AsPtRh at its relaxed geometry. The functional is PBE-GGA.

The space-group type is P4/mmm. As for the calculated volume: 79.5 Å³/cell. The density of states at the Fermi level comes out at 1.47 states/eV/cell. The calculation puts the size of the total moment at 0.0 μB/f.u. The formation energy is 0.37 eV per atom.

a = 4.172 Å, b = 4.566 Å, c = 4.172 Å
α = 90.00°, β = 90.00°, γ = 90.00°
Element x y z (fractional)
1 Be 0.000 0.000 0.500
2 Be 0.500 0.000 0.000
3 Pt 0.500 0.500 0.500
4 Rh 0.000 0.000 0.000
5 As 0.000 0.500 0.000


This record from the Alexandria database describes crystalline BeAsPtSe2 at its relaxed geometry. The functional is PBE-GGA.

The space-group type is P4/mmm. As for the calculated volume: 123.8 Å³/cell. The density of states at the Fermi level comes out at 5.22 states/eV/cell. The calculation puts the size of the total moment at 0.0 μB/f.u. The formation energy without anion corrections is 20.8 kcal/mol of atoms.

a = 5.178 Å, b = 5.178 Å, c = 4.619 Å
α = 90.00°, β = 90.00°, γ = 90.00°
Element x y z (fractional)
1 Se 0.000 0.500 0.000
2 Se 0.500 0.000 0.000
3 As 0.000 0.000 0.500
4 Be 0.500 0.500 0.500
5 Pt 0.000 0.000 0.000


This record from the Alexandria database describes crystalline BeAsPtSe2 at its relaxed geometry. The functional is PBE-GGA.

The space-group type is P4/mmm. As for the calculated volume: 89.0 Å³/cell. The density of states at the Fermi level comes out at 3.21 states/eV/cell. The calculation puts the size of the total moment at 0.0 μB/f.u. The formation energy without anion corrections is 13.3 kcal/mol of atoms.

a = 4.531 Å, b = 4.531 Å, c = 4.334 Å
α = 90.00°, β = 90.00°, γ = 90.00°
Element x y z (fractional)
1 As 0.000 0.000 0.500
2 Se 0.500 0.000 0.000
3 Se 0.000 0.500 0.000
4 Pt 0.500 0.500 0.500
5 Be 0.000 0.000 0.000


This record from the Alexandria database describes crystalline BeSiAsPt2 at its relaxed geometry. The functional is PBE-GGA.

The space-group type is P4/mmm. As for the calculated volume: 87.7 Å³/cell. The density of states at the Fermi level comes out at 2.50 states/eV/cell. The calculation puts the size of the total moment at 0.0 μB/f.u. The formation energy without anion corrections is 9.9 kcal/mol of atoms.

a = 4.644 Å, b = 4.066 Å, c = 4.644 Å
α = 90.00°, β = 90.00°, γ = 90.00°
Element x y z (fractional)
1 As 0.500 0.500 0.500
2 Pt 0.000 0.000 0.500
3 Pt 0.500 0.000 0.000
4 Si 0.000 0.000 0.000
5 Be 0.000 0.500 0.000